# 1
! GGA-PBE La2NdH4, optimized geometry; values from VASP
&SYSTEM
  ibrav = 0, nat = 7, ntyp = 3
/
ATOMIC_SPECIES
H 1.01 H.upf
Nd 144.24 Nd.upf
La 138.91 La.upf
CELL_PARAMETERS angstrom
-3.5647 -1.1834 1.9703
0.4806 -3.9394 -1.4966
2.0900 -4.2331 5.8039
ATOMIC_POSITIONS crystal
H 0.1678 0.1678 0.6644
H 0.8322 0.8322 0.3356
H 0.0000 0.5000 0.0000
H 0.5000 0.0000 0.0000
Nd 0.0000 0.0000 0.0000
La 0.3377 0.3377 0.3247
La 0.6623 0.6623 0.6753
! - final energy (eV/atom) = -4.25
! - space-group type = No. 139
! - M_tot (μB/cell) = 0.0
! - crystal system = tetragonal


# 2
! GGA-PBE LaNdH, optimized geometry; values from VASP
&SYSTEM
  ibrav = 0, nat = 3, ntyp = 3
/
ATOMIC_SPECIES
La 138.91 La.upf
Nd 144.24 Nd.upf
H 1.01 H.upf
CELL_PARAMETERS angstrom
-3.9631 0.1089 -0.5867
1.5842 -2.7182 2.4826
-0.5448 3.6653 4.3608
ATOMIC_POSITIONS crystal
La 0.6667 0.3333 0.5000
Nd 0.3333 0.6667 0.0000
H 0.3333 0.6667 0.5000
! - space-group type = No. 187
! - M_tot (μB/cell) = 0.5
! - offset from the most stable computed form (meV/atom) = 20
! - crystal system = hexagonal


# 3
! GGA-PBE LaNdH2, optimized geometry; values from VASP
&SYSTEM
  ibrav = 0, nat = 4, ntyp = 3
/
ATOMIC_SPECIES
La 138.91 La.upf
Nd 144.24 Nd.upf
H 1.01 H.upf
CELL_PARAMETERS angstrom
3.6362 0.0000 0.0000
1.8181 3.1491 0.0000
1.8181 1.0497 6.2479
ATOMIC_POSITIONS crystal
La 0.4932 0.4932 0.5205
Nd 0.6688 0.6688 0.9937
H 0.0774 0.0774 0.7677
H 0.2606 0.2606 0.2181
! - space-group type = No. 160
! - M_tot (μB/cell) = 0.0
! - offset from the most stable computed form (meV/atom) = 105
! - crystal system = trigonal


# 4
! GGA-PBE LaNdH2, optimized geometry; values from VASP
&SYSTEM
  ibrav = 0, nat = 4, ntyp = 3
/
ATOMIC_SPECIES
H 1.01 H.upf
Nd 144.24 Nd.upf
La 138.91 La.upf
CELL_PARAMETERS angstrom
-2.6118 -2.1802 1.3606
0.9190 -3.0524 1.8067
-0.4537 1.3382 6.2072
ATOMIC_POSITIONS crystal
H 0.7528 0.7528 0.7417
H 0.2472 0.2472 0.2583
Nd 0.5000 0.5000 0.5000
La 0.0000 0.0000 0.0000
! - space-group type = No. 166
! - M_tot (μB/cell) = 0.0
! - offset from the most stable computed form (meV/atom) = 0
! - crystal system = trigonal


# 5
! GGA-PBE La2Nd3H8, optimized geometry; values from VASP
&SYSTEM
  ibrav = 0, nat = 13, ntyp = 3
/
ATOMIC_SPECIES
La 138.91 La.upf
Nd 144.24 Nd.upf
H 1.01 H.upf
CELL_PARAMETERS angstrom
-1.7930 0.3336 -3.2771
1.1941 -6.3656 -1.3013
-6.8860 -5.4421 3.2137
ATOMIC_POSITIONS crystal
La 0.5000 0.7319 0.7110
La 0.5000 0.2681 0.2890
Nd 0.5000 0.0000 0.0000
Nd 0.0000 0.7486 0.3457
Nd 0.0000 0.2514 0.6543
H 0.0000 0.3807 0.3890
H 0.0000 0.6193 0.6110
H 0.0000 0.8998 0.8465
H 0.0000 0.1002 0.1535
H 0.5000 0.3293 0.7831
H 0.5000 0.8792 0.4342
H 0.5000 0.1208 0.5658
H 0.5000 0.6707 0.2169
! - final energy (eV/atom) = -4.37
! - space-group type = No. 10
! - M_tot (μB/cell) = 0.0
! - crystal system = monoclinic


# 6
! GGA-PBE LaNdH, optimized geometry; values from VASP
&SYSTEM
  ibrav = 0, nat = 3, ntyp = 3
/
ATOMIC_SPECIES
H 1.01 H.upf
Nd 144.24 Nd.upf
La 138.91 La.upf
CELL_PARAMETERS angstrom
-3.2544 -1.2460 -0.3025
1.0342 -2.0628 -2.6288
2.4805 -2.9286 5.6011
ATOMIC_POSITIONS crystal
H 0.2202 0.2202 0.4404
Nd 0.7473 0.7473 0.4946
La 0.0325 0.0325 0.0650
! - space-group type = No. 107
! - M_tot (μB/cell) = 0.0
! - offset from the most stable computed form (meV/atom) = 80
! - crystal system = tetragonal


# 7
! GGA-PBE La2NdH8, optimized geometry; values from VASP
&SYSTEM
  ibrav = 0, nat = 11, ntyp = 3
/
ATOMIC_SPECIES
La 138.91 La.upf
Nd 144.24 Nd.upf
H 1.01 H.upf
CELL_PARAMETERS angstrom
-1.4413 -3.2510 -1.6779
1.6037 1.7961 -4.8577
5.1217 -1.9541 3.9940
ATOMIC_POSITIONS crystal
La 0.1699 0.6699 0.3397
La 0.8301 0.3301 0.6603
Nd 0.5000 0.0000 0.0000
H 0.6574 0.8999 0.3149
H 0.3426 0.5850 0.6851
H 0.1655 0.1655 0.3310
H 0.0000 0.2599 0.0000
H 0.8345 0.8345 0.6690
H 0.6574 0.4150 0.3149
H 0.3426 0.1001 0.6851
H 0.0000 0.7401 0.0000
! - final energy (eV/atom) = -4.38
! - space-group type = No. 71
! - M_tot (μB/cell) = 0.0
! - crystal system = orthorhombic


# 8
! GGA-PBE LaNdH4, optimized geometry; values from VASP
&SYSTEM
  ibrav = 0, nat = 6, ntyp = 3
/
ATOMIC_SPECIES
La 138.91 La.upf
Nd 144.24 Nd.upf
H 1.01 H.upf
CELL_PARAMETERS angstrom
3.9226 0.0000 0.0000
0.0000 3.9226 0.0000
0.0000 0.0000 5.5624
ATOMIC_POSITIONS crystal
La 0.0000 0.0000 0.0000
Nd 0.5000 0.5000 0.5000
H 0.5000 0.0000 0.7415
H 0.0000 0.5000 0.7415
H 0.5000 0.0000 0.2585
H 0.0000 0.5000 0.2585
! - final energy (eV/atom) = -4.50
! - space-group type = No. 123
! - M_tot (μB/cell) = 0.0
! - crystal system = tetragonal


Mass density for the records above, in order: 5.74 5.93 6.62 6.78 5.52 6.10 5.68 5.57 g/cm3